VASP calculation (PBE-GGA) on a relaxed SrTc2Ge3 crystal.

Results
Fermi-level density of states, states/eV/cell: 13.7
Final energy, eV/atom: -6.270
Energy of formation from the pure elements, meV/atom: -226

Lattice parameters (Å, degrees): 10.283 7.833 5.789 90.00 90.00 90.00
Space group Cmcm (No. 63)
Unique sites:
Sr 0.000 0.158 0.250
Tc 0.197 0.500 0.000
Ge 0.000 0.445 0.750
Ge 0.190 0.215 0.750